(1)
Here is an optimized crystal structure of LiCd5Ag6 from the Alexandria database. Energies are from GGA-PBE.

Cell: 8.426 4.624 7.315 Å, 71.57 80.10 57.03°
Positions (direct):
Li  0.000  0.000  0.000
Cd  0.500  0.167  0.666
Cd  0.000  0.333  0.334
Cd  0.500  0.500  0.000
Cd  0.000  0.667  0.666
Cd  0.500  0.833  0.334
Ag  0.756  0.082  0.323
Ag  0.244  0.595  0.323
Ag  0.239  0.262  0.000
Ag  0.761  0.738  0.000
Ag  0.756  0.405  0.677
Ag  0.244  0.918  0.677

Calculated values
Total magnetic moment in μB/f.u.: 0.00
Calculated formation energy in kJ per mole of atoms: -8.8



(2)
Here is an optimized crystal structure of Pr2DyTm from the Alexandria database. Energies are from GGA-PBE.

Cell: 3.636 3.636 10.099 Å, 90.00 90.00 90.00°
Positions (direct):
Pr  0.000  0.000  0.752
Pr  0.000  0.000  0.248
Tm  0.500  0.500  0.000
Dy  0.500  0.500  0.500

Calculated values
Total magnetic moment in μB/f.u.: 0.00
Calculated formation energy in kJ per mole of atoms: 2.2
Polymorph energy (0 for the lowest one) in eV per atom: 0.0074